# CrHg4Pb, optimized geometry, DFT PBE
# - Calculated formation energy: 0.3781 eV/atom
# - Total magnetization: 4.43 μB per formula unit
# - E_tot: -49.08 eV/cell
# - Volume: 24.9 Å³/atom
data_CrHg4Pb
_cell_length_a 8.424
_cell_length_b 8.424
_cell_length_c 8.424
_cell_angle_alpha 90.00
_cell_angle_beta 90.00
_cell_angle_gamma 90.00
_space_group_name_H-M_alt 'F -4 3 m'
_space_group_IT_number 216
_space_group_name_Hall 'F -4 2 3'
loop_
_atom_site_label
_atom_site_fract_x
_atom_site_fract_y
_atom_site_fract_z
_atom_site_occupancy
Cr1 0.000 0.000 0.000 1
Hg1 0.125 0.125 0.625 1
Pb1 0.250 0.250 0.250 1